! SrGa2SnAu2, optimized geometry, DFT PBE; values from VASP
! Energy, eV for the cell shown: -20.871
! Space group: P-3m1, No. 164
! Total magnetization, μB/f.u.: 0.00
! Formation enthalpy at 0 K, eV per atom: -0.43
&SYSTEM
  ibrav = 0, nat = 6, ntyp = 4
/
ATOMIC_SPECIES
Sr 87.62 Sr.upf
Ga 69.72 Ga.upf
Sn 118.71 Sn.upf
Au 196.97 Au.upf
ATOMIC_POSITIONS angstrom
Sr 0.000 0.000 0.000
Ga 2.422 0.710 2.247
Ga 6.125 0.101 0.063
Sn 3.407 1.564 -0.636
Au 5.423 2.087 1.686
Au 3.124 -1.276 0.623
CELL_PARAMETERS angstrom
-0.074 1.872 4.206
1.806 -4.189 -0.624
6.815 3.128 -1.272